# 1
Here is a geometry-optimized UMnCoSi2 structure from the Alexandria database. Energies are from PBE.

Geometry as CIF:
```
data_UMnCoSi2
_cell_length_a 3.967
_cell_length_b 3.967
_cell_length_c 9.344
_cell_angle_alpha 90.00
_cell_angle_beta 90.00
_cell_angle_gamma 90.00
_space_group_name_H-M_alt 'I -4 m 2'
_space_group_IT_number 119
_space_group_name_Hall 'I -4 -2'
loop_
_atom_site_label
_atom_site_type_symbol
_atom_site_fract_x
_atom_site_fract_y
_atom_site_fract_z
U1 U 0.000 0.000 0.000
Mn1 Mn 0.000 0.500 0.250
Co1 Co 0.000 0.500 0.750
Si1 Si 0.000 0.000 0.371
```

The value obtained for the uncorrected formation energy is -508.6 meV per atom.

# 2
Here is a geometry-optimized MnVCoSi2 structure from the Alexandria database. Energies are from PBE.

Geometry as CIF:
```
data_MnVCoSi2
_cell_length_a 4.231
_cell_length_b 4.231
_cell_length_c 4.183
_cell_angle_alpha 90.00
_cell_angle_beta 90.00
_cell_angle_gamma 90.00
_space_group_name_H-M_alt 'P 4/m m m'
_space_group_IT_number 123
_space_group_name_Hall '-P 4 2'
loop_
_atom_site_label
_atom_site_type_symbol
_atom_site_fract_x
_atom_site_fract_y
_atom_site_fract_z
Mn1 Mn 0.000 0.000 0.000
V1 V 0.500 0.500 0.500
Co1 Co 0.000 0.000 0.500
Si1 Si 0.000 0.500 0.000
```

The value obtained for the uncorrected formation energy is 793.7 meV per atom.

# 3
Here is a geometry-optimized YMnCoSi3 structure from the Alexandria database. Energies are from PBE.

Geometry as CIF:
```
data_YMnCoSi3
_cell_length_a 5.912
_cell_length_b 11.445
_cell_length_c 5.833
_cell_angle_alpha 90.00
_cell_angle_beta 90.00
_cell_angle_gamma 90.00
_space_group_name_H-M_alt 'C m c m'
_space_group_IT_number 63
_space_group_name_Hall '-C 2c 2'
loop_
_atom_site_label
_atom_site_type_symbol
_atom_site_fract_x
_atom_site_fract_y
_atom_site_fract_z
Y1 Y 0.000 0.244 0.250
Mn1 Mn 0.000 0.022 0.750
Co1 Co 0.000 0.391 0.750
Si1 Si 0.000 0.208 0.750
Si2 Si 0.205 0.500 0.000
```

The value obtained for the uncorrected formation energy is -322.6 meV per atom.

# 4
Here is a geometry-optimized SmMn10Co2 structure from the Alexandria database. Energies are from PBE.

Geometry as CIF:
```
data_SmMn10Co2
_cell_length_a 8.442
_cell_length_b 9.609
_cell_length_c 8.314
_cell_angle_alpha 90.00
_cell_angle_beta 90.00
_cell_angle_gamma 90.00
_space_group_name_H-M_alt 'C m c m'
_space_group_IT_number 63
_space_group_name_Hall '-C 2c 2'
loop_
_atom_site_label
_atom_site_type_symbol
_atom_site_fract_x
_atom_site_fract_y
_atom_site_fract_z
Sm1 Sm 0.000 0.113 0.250
Mn1 Mn 0.000 0.172 0.599
Mn2 Mn 0.000 0.388 0.082
Mn3 Mn 0.133 0.384 0.750
Mn4 Mn 0.241 0.000 0.000
Mn5 Mn 0.245 0.371 0.250
Co1 Co 0.250 0.250 0.000
```

For the energy of formation from the pure elements, the calculation gives 5 kJ per mole of atoms.

# 5
Here is a geometry-optimized SmMn17Co structure from the Alexandria database. Energies are from PBE.

Geometry as CIF:
```
data_SmMn17Co
_cell_length_a 8.0357
_cell_length_b 8.0357
_cell_length_c 12.4861
_cell_angle_alpha 90.00
_cell_angle_beta 90.00
_cell_angle_gamma 120.00
_space_group_name_H-M_alt 'R 3 m'
_space_group_IT_number 160
_space_group_name_Hall 'R 3 -2"'
loop_
_atom_site_label
_atom_site_type_symbol
_atom_site_fract_x
_atom_site_fract_y
_atom_site_fract_z
Sm1 Sm 0.0000 0.0000 0.0000
Mn1 Mn 0.0000 0.0000 0.5725
Mn2 Mn 0.0000 0.0000 0.7500
Mn3 Mn 0.0005 0.5002 0.1675
Mn4 Mn 0.0359 0.3491 0.3274
Mn5 Mn 0.1687 0.3373 0.8338
Mn6 Mn 0.1699 0.3398 0.1478
Co1 Co 0.0000 0.0000 0.2617
```

For the energy of formation from the pure elements, the calculation gives 19 kJ per mole of atoms.

# 6
Here is a geometry-optimized Sm3Mn2Co7 structure from the Alexandria database. Energies are from PBE.

Geometry as CIF:
```
data_Sm3Mn2Co7
_cell_length_a 5.1529
_cell_length_b 5.1529
_cell_length_c 23.6698
_cell_angle_alpha 90.00
_cell_angle_beta 90.00
_cell_angle_gamma 120.00
_space_group_name_H-M_alt 'R -3 m'
_space_group_IT_number 166
_space_group_name_Hall '-R 3 2"'
loop_
_atom_site_label
_atom_site_type_symbol
_atom_site_fract_x
_atom_site_fract_y
_atom_site_fract_z
Sm1 Sm 0.0000 0.0000 0.0000
Sm2 Sm 0.0000 0.0000 0.1405
Mn1 Mn 0.0000 0.0000 0.3334
Co1 Co 0.0000 0.0000 0.5000
Co2 Co 0.0011 0.5005 0.0810
```

For the energy of formation from the pure elements, the calculation gives -8 kJ per mole of atoms.

# 7
Here is a geometry-optimized SmMn4Co8 structure from the Alexandria database. Energies are from PBE.

Geometry as CIF:
```
data_SmMn4Co8
_cell_length_a 8.399
_cell_length_b 8.399
_cell_length_c 4.575
_cell_angle_alpha 90.00
_cell_angle_beta 90.00
_cell_angle_gamma 90.00
_space_group_name_H-M_alt 'I 4/m m m'
_space_group_IT_number 139
_space_group_name_Hall '-I 4 2'
loop_
_atom_site_label
_atom_site_type_symbol
_atom_site_fract_x
_atom_site_fract_y
_atom_site_fract_z
Sm1 Sm 0.000 0.000 0.000
Mn1 Mn 0.250 0.250 0.250
Co1 Co 0.000 0.230 0.500
Co2 Co 0.000 0.360 0.000
```

For the energy of formation from the pure elements, the calculation gives 3 kJ per mole of atoms.

# 8
Here is a geometry-optimized MnCo2Sn2 structure from the Alexandria database. Energies are from PBE.

Geometry as CIF:
```
data_MnCo2Sn2
_cell_length_a 6.560
_cell_length_b 6.560
_cell_length_c 3.719
_cell_angle_alpha 90.00
_cell_angle_beta 90.00
_cell_angle_gamma 90.00
_space_group_name_H-M_alt 'P 4/m b m'
_space_group_IT_number 127
_space_group_name_Hall '-P 4 2ab'
loop_
_atom_site_label
_atom_site_type_symbol
_atom_site_fract_x
_atom_site_fract_y
_atom_site_fract_z
Mn1 Mn 0.000 0.000 0.000
Co1 Co 0.135 0.365 0.000
Sn1 Sn 0.169 0.669 0.500
```

The energy relative to the lowest polymorph listed for this composition comes out at 0.0 meV/atom. For the energy of formation from the pure elements, the calculation gives 11 kJ per mole of atoms.

# 9
Here is a geometry-optimized MnCoSn structure from the Alexandria database. Energies are from PBE.

Geometry as CIF:
```
data_MnCoSn
_cell_length_a 4.4546
_cell_length_b 4.4546
_cell_length_c 5.3374
_cell_angle_alpha 90.00
_cell_angle_beta 90.00
_cell_angle_gamma 120.00
_space_group_name_H-M_alt 'P 63/m m c'
_space_group_IT_number 194
_space_group_name_Hall '-P 6c 2c'
loop_
_atom_site_label
_atom_site_type_symbol
_atom_site_fract_x
_atom_site_fract_y
_atom_site_fract_z
Mn1 Mn 0.3333 0.6667 0.2500
Co1 Co 0.0000 0.0000 0.0000
Sn1 Sn 0.3333 0.6667 0.7500
```

For the energy of formation from the pure elements, the calculation gives 24 kJ per mole of atoms.

# 10
Here is a geometry-optimized MnCoSn structure from the Alexandria database. Energies are from PBE.

Geometry as CIF:
```
data_MnCoSn
_cell_length_a 5.863
_cell_length_b 5.863
_cell_length_c 5.863
_cell_angle_alpha 90.00
_cell_angle_beta 90.00
_cell_angle_gamma 90.00
_space_group_name_H-M_alt 'F -4 3 m'
_space_group_IT_number 216
_space_group_name_Hall 'F -4 2 3'
loop_
_atom_site_label
_atom_site_type_symbol
_atom_site_fract_x
_atom_site_fract_y
_atom_site_fract_z
Mn1 Mn 0.000 0.000 0.000
Co1 Co 0.250 0.250 0.750
Sn1 Sn 0.000 0.000 0.500
```

For the energy of formation from the pure elements, the calculation gives 11 kJ per mole of atoms.

# 11
Here is a geometry-optimized MnCoSn6 structure from the Alexandria database. Energies are from PBE.

Geometry as CIF:
```
data_MnCoSn6
_cell_length_a 6.855
_cell_length_b 8.736
_cell_length_c 6.491
_cell_angle_alpha 90.00
_cell_angle_beta 96.87
_cell_angle_gamma 90.00
_space_group_name_H-M_alt 'C 1 2/m 1'
_space_group_IT_number 12
loop_
_space_group_symop_operation_xyz
'x,y,z'
'-x,-y,-z'
'-x,y,-z'
'x,-y,z'
'x+1/2,y+1/2,z'
'-x+1/2,-y+1/2,-z'
'-x+1/2,y+1/2,-z'
'x+1/2,-y+1/2,z'
loop_
_atom_site_label
_atom_site_type_symbol
_atom_site_fract_x
_atom_site_fract_y
_atom_site_fract_z
Mn1 Mn 0.000 0.000 0.000
Co1 Co 0.000 0.500 0.500
Sn1 Sn 0.113 0.317 0.804
Sn2 Sn 0.182 0.000 0.640
```

For the energy of formation from the pure elements, the calculation gives 15 kJ per mole of atoms.

# 12
Here is a geometry-optimized MnCo3Sn structure from the Alexandria database. Energies are from PBE.

Geometry as CIF:
```
data_MnCo3Sn
_cell_length_a 4.217
_cell_length_b 4.217
_cell_length_c 4.217
_cell_angle_alpha 90.00
_cell_angle_beta 90.00
_cell_angle_gamma 90.00
_space_group_name_H-M_alt 'P m -3 m'
_space_group_IT_number 221
_space_group_name_Hall '-P 4 2 3'
loop_
_atom_site_label
_atom_site_type_symbol
_atom_site_fract_x
_atom_site_fract_y
_atom_site_fract_z
Mn1 Mn 0.000 0.000 0.000
Co1 Co 0.000 0.000 0.500
Sn1 Sn 0.500 0.500 0.500
```

The energy relative to the lowest polymorph listed for this composition comes out at 0.0 meV/atom. For the energy of formation from the pure elements, the calculation gives 92 kJ per mole of atoms.

Number 1: calculated total energy -8.1906 eV/atom. Number 2: calculated total energy -6.4543 eV/atom. Number 3: calculated total energy -6.8241 eV/atom. Number 4: calculated total energy -8.4620 eV/atom. Number 5: calculated total energy -8.6283 eV/atom. Number 6: calculated total energy -6.9322 eV/atom. Number 7: calculated total energy -7.5262 eV/atom. Number 8: calculated total energy -6.1641 eV/atom. Number 9: calculated total energy -6.5145 eV/atom. Number 10: calculated total energy -6.6464 eV/atom. Number 11: calculated total energy -4.8761 eV/atom. Number 12: calculated total energy -5.9444 eV/atom.